Entry 1:
# KMo2P PBE optimized geometry
data_KMo2P
_chemical_formula_sum 'K1 Mo2 P1'
_space_group_name_H-M_alt 'P 1'
_space_group_IT_number 1
_cell_length_a 3.229
_cell_length_b 4.101
_cell_length_c 7.202
_cell_angle_alpha 90.00
_cell_angle_beta 102.38
_cell_angle_gamma 90.00
loop_
_space_group_symop_operation_xyz
'x,y,z'
loop_
_atom_site_label
_atom_site_fract_x
_atom_site_fract_y
_atom_site_fract_z
_atom_site_occupancy
K1 0.000 0.000 0.000 1
Mo1 0.261 0.000 0.499 1
Mo2 0.741 0.500 0.459 1
P1 0.365 0.500 0.718 1
# * formation energy from the elements: 269.7 meV/atom

***

Entry 2:
# KMo2P PBE optimized geometry
data_KMo2P
_chemical_formula_sum 'K1 Mo2 P1'
_space_group_name_H-M_alt 'P 1'
_space_group_IT_number 1
_cell_length_a 3.223
_cell_length_b 3.223
_cell_length_c 8.067
_cell_angle_alpha 90.00
_cell_angle_beta 90.00
_cell_angle_gamma 90.00
loop_
_space_group_symop_operation_xyz
'x,y,z'
loop_
_atom_site_label
_atom_site_fract_x
_atom_site_fract_y
_atom_site_fract_z
_atom_site_occupancy
K1 0.000 0.000 0.000 1
Mo1 0.000 0.000 0.551 1
Mo2 0.500 0.500 0.381 1
P1 0.500 0.500 0.704 1
# * formation energy from the elements: 308.2 meV/atom

***

Entry 3:
# KMo2P PBE optimized geometry
data_KMo2P
_chemical_formula_sum 'K2 Mo4 P2'
_space_group_name_H-M_alt 'P 1'
_space_group_IT_number 1
_cell_length_a 2.948
_cell_length_b 5.862
_cell_length_c 9.989
_cell_angle_alpha 90.00
_cell_angle_beta 90.00
_cell_angle_gamma 90.00
loop_
_space_group_symop_operation_xyz
'x,y,z'
loop_
_atom_site_label
_atom_site_fract_x
_atom_site_fract_y
_atom_site_fract_z
_atom_site_occupancy
K1 0.000 0.000 0.000 1
K2 0.500 0.500 0.500 1
Mo1 0.000 0.000 0.513 1
Mo2 0.000 0.500 0.816 1
Mo3 0.500 0.000 0.316 1
Mo4 0.500 0.500 0.013 1
P1 0.000 0.500 0.217 1
P2 0.500 0.000 0.717 1
# * formation energy from the elements: 1013.5 meV/atom

***

Entry 4:
# KMo4P PBE optimized geometry
data_KMo4P
_chemical_formula_sum 'K1 Mo4 P1'
_space_group_name_H-M_alt 'P 1'
_space_group_IT_number 1
_cell_length_a 5.381
_cell_length_b 5.381
_cell_length_c 5.381
_cell_angle_alpha 60.00
_cell_angle_beta 60.00
_cell_angle_gamma 60.00
loop_
_space_group_symop_operation_xyz
'x,y,z'
loop_
_atom_site_label
_atom_site_fract_x
_atom_site_fract_y
_atom_site_fract_z
_atom_site_occupancy
K1 0.000 0.000 0.000 1
Mo1 0.129 0.624 0.624 1
Mo2 0.624 0.129 0.624 1
Mo3 0.624 0.624 0.129 1
Mo4 0.624 0.624 0.624 1
P1 0.250 0.250 0.250 1
# * formation energy from the elements: 1157.5 meV/atom

***

Entry 5:
# KMo2P PBE optimized geometry
data_KMo2P
_chemical_formula_sum 'K1 Mo2 P1'
_space_group_name_H-M_alt 'P 1'
_space_group_IT_number 1
_cell_length_a 3.972
_cell_length_b 3.972
_cell_length_c 4.508
_cell_angle_alpha 90.00
_cell_angle_beta 90.00
_cell_angle_gamma 90.00
loop_
_space_group_symop_operation_xyz
'x,y,z'
loop_
_atom_site_label
_atom_site_fract_x
_atom_site_fract_y
_atom_site_fract_z
_atom_site_occupancy
K1 0.000 0.000 0.000 1
Mo1 0.000 0.500 0.500 1
Mo2 0.500 0.000 0.500 1
P1 0.500 0.500 0.000 1
# * formation energy from the elements: 1316.3 meV/atom

***

Entry 6:
# KMo2P PBE optimized geometry
data_KMo2P
_chemical_formula_sum 'K3 Mo6 P3'
_space_group_name_H-M_alt 'P 1'
_space_group_IT_number 1
_cell_length_a 2.974
_cell_length_b 2.974
_cell_length_c 29.499
_cell_angle_alpha 90.00
_cell_angle_beta 90.00
_cell_angle_gamma 120.00
loop_
_space_group_symop_operation_xyz
'x,y,z'
loop_
_atom_site_label
_atom_site_fract_x
_atom_site_fract_y
_atom_site_fract_z
_atom_site_occupancy
K1 0.000 0.000 0.000 1
K2 0.333 0.667 0.667 1
K3 0.667 0.333 0.333 1
Mo1 0.000 0.000 0.228 1
Mo2 0.000 0.000 0.772 1
Mo3 0.333 0.667 0.439 1
Mo4 0.333 0.667 0.895 1
Mo5 0.667 0.333 0.105 1
Mo6 0.667 0.333 0.561 1
P1 0.000 0.000 0.500 1
P2 0.333 0.667 0.167 1
P3 0.667 0.333 0.833 1
# * formation energy from the elements: 644.1 meV/atom

***

Entry 7:
# KMo2P PBE optimized geometry
data_KMo2P
_chemical_formula_sum 'K2 Mo4 P2'
_space_group_name_H-M_alt 'P 1'
_space_group_IT_number 1
_cell_length_a 8.269
_cell_length_b 3.180
_cell_length_c 7.250
_cell_angle_alpha 90.00
_cell_angle_beta 98.68
_cell_angle_gamma 90.00
loop_
_space_group_symop_operation_xyz
'x,y,z'
loop_
_atom_site_label
_atom_site_fract_x
_atom_site_fract_y
_atom_site_fract_z
_atom_site_occupancy
K1 0.000 0.000 0.000 1
K2 0.500 0.500 0.000 1
Mo1 0.210 0.000 0.602 1
Mo2 0.481 0.000 0.468 1
Mo3 0.710 0.500 0.602 1
Mo4 0.981 0.500 0.468 1
P1 0.246 0.500 0.344 1
P2 0.746 0.000 0.344 1
# * formation energy from the elements: 333.8 meV/atom

***

Entry 8:
# KMo2P PBE optimized geometry
data_KMo2P
_chemical_formula_sum 'K2 Mo4 P2'
_space_group_name_H-M_alt 'P 1'
_space_group_IT_number 1
_cell_length_a 3.430
_cell_length_b 4.941
_cell_length_c 9.407
_cell_angle_alpha 90.00
_cell_angle_beta 90.00
_cell_angle_gamma 90.00
loop_
_space_group_symop_operation_xyz
'x,y,z'
loop_
_atom_site_label
_atom_site_fract_x
_atom_site_fract_y
_atom_site_fract_z
_atom_site_occupancy
K1 0.000 0.000 0.000 1
K2 0.500 0.500 0.000 1
Mo1 0.000 0.500 0.333 1
Mo2 0.000 0.500 0.667 1
Mo3 0.500 0.000 0.333 1
Mo4 0.500 0.000 0.667 1
P1 0.000 0.000 0.500 1
P2 0.500 0.500 0.500 1
# * formation energy from the elements: 635.8 meV/atom

***

Which value of formation energy from the elements does entry 1 give? 269.7 meV/atom